# RbTe3F, optimized geometry, DFT PBE
# total moment	0.00	μB/f.u.
# E_form (uncorrected)	-0.409	eV/atom
# crystal system	cubic
# DFT total energy	-2.8617	eV per atom
data_RbTe3F
_space_group_name_H-M_alt 'P m -3 m'
_space_group_IT_number 221
_space_group_name_Hall '-P 4 2 3'
_cell_length_a 5.173
_cell_length_b 5.173
_cell_length_c 5.173
_cell_angle_alpha 90.00
_cell_angle_beta 90.00
_cell_angle_gamma 90.00
loop_
_atom_site_label
_atom_site_type_symbol
_atom_site_fract_x
_atom_site_fract_y
_atom_site_fract_z
_atom_site_occupancy
Rb1 Rb 0.000 0.000 0.000 1
Te1 Te 0.000 0.500 0.500 1
F1 F 0.500 0.500 0.500 1

# LuGaAu, optimized geometry, DFT PBE
# E_form	-762	meV/atom
# total moment	0.00	μB/f.u.
# crystal system	monoclinic
# DFT total energy	-4.3703	eV per atom
data_LuGaAu
_space_group_name_H-M_alt 'C 1 2/m 1'
_space_group_IT_number 12
_space_group_name_Hall '-C 2y'
_cell_length_a 10.354
_cell_length_b 4.455
_cell_length_c 6.977
_cell_angle_alpha 90.00
_cell_angle_beta 131.39
_cell_angle_gamma 90.00
loop_
_atom_site_label
_atom_site_type_symbol
_atom_site_fract_x
_atom_site_fract_y
_atom_site_fract_z
_atom_site_occupancy
Lu1 Lu 0.038 0.000 0.297 1
Ga1 Ga 0.158 0.500 0.105 1
Au1 Au 0.177 0.500 0.713 1